# 1
Here is a relaxed structure of Na2B2Rh3 from Alexandria via LeMat-Bulk. Energies are from PBE.

Computed properties:
* ΔH_f (0 K): -0.69 eV/f.u.
* raw total energy: -5.534 eV per atom
* DOS at the Fermi energy: 2.9 states/eV per cell
* space-group type: C2/m

```
data_Na2B2Rh3
_chemical_formula_sum 'Na2 B2 Rh3'
_cell_length_a 2.9776
_cell_length_b 5.3521
_cell_length_c 6.4754
_cell_angle_alpha 77.85
_cell_angle_beta 76.71
_cell_angle_gamma 73.85
_space_group_name_H-M_alt 'P 1'
_space_group_IT_number 1
_space_group_name_Hall 'P 1'
loop_
_atom_site_label
_atom_site_fract_x
_atom_site_fract_y
_atom_site_fract_z
_atom_site_occupancy
Na1 0.1630 0.4832 0.1908 1
Na2 0.8370 0.5168 0.8092 1
Rh1 0.6246 0.2098 0.5410 1
Rh2 0.5000 0.0000 0.0000 1
Rh3 0.3754 0.7902 0.4590 1
B1 0.1299 0.0076 0.7326 1
B2 0.8701 0.9924 0.2674 1
```


# 2
Here is a relaxed structure of Na3BRh from Alexandria via LeMat-Bulk. Energies are from PBE.

Computed properties:
* ΔH_f (0 K): 6.25 eV/f.u.
* excess energy over the best structure of this formula in the dataset: 0.0000 eV/atom
* raw total energy: -2.347 eV per atom
* DOS at the Fermi energy: 4.7 states/eV per cell
* space-group type: Pm-3m

```
data_Na3BRh
_chemical_formula_sum 'Na3 B1 Rh1'
_cell_length_a 4.8788
_cell_length_b 4.8788
_cell_length_c 4.8788
_cell_angle_alpha 90.00
_cell_angle_beta 90.00
_cell_angle_gamma 90.00
_space_group_name_H-M_alt 'P 1'
_space_group_IT_number 1
_space_group_name_Hall 'P 1'
loop_
_atom_site_label
_atom_site_fract_x
_atom_site_fract_y
_atom_site_fract_z
_atom_site_occupancy
Na1 0.5000 0.0000 0.0000 1
Na2 0.0000 0.5000 0.0000 1
Na3 0.0000 0.0000 0.5000 1
B1 0.0000 0.0000 0.0000 1
Rh1 0.5000 0.5000 0.5000 1
```


# 3
Here is a relaxed structure of NaB2Rh2 from Alexandria via LeMat-Bulk. Energies are from PBE.

Computed properties:
* ΔH_f (0 K): -1.13 eV/f.u.
* excess energy over the best structure of this formula in the dataset: 0.0440 eV/atom
* raw total energy: -6.102 eV per atom
* DOS at the Fermi energy: 1.9 states/eV per cell
* space-group type: C2/m

```
data_NaB2Rh2
_chemical_formula_sum 'Na1 B2 Rh2'
_cell_length_a 3.9253
_cell_length_b 3.9253
_cell_length_c 5.7737
_cell_angle_alpha 69.92
_cell_angle_beta 70.13
_cell_angle_gamma 90.00
_space_group_name_H-M_alt 'P 1'
_space_group_IT_number 1
_space_group_name_Hall 'P 1'
loop_
_atom_site_label
_atom_site_fract_x
_atom_site_fract_y
_atom_site_fract_z
_atom_site_occupancy
Na1 0.0000 0.0000 0.0000 1
B1 0.6817 0.6810 0.6366 1
B2 0.3183 0.3190 0.3634 1
Rh1 0.2500 0.7500 0.5000 1
Rh2 0.7500 0.2500 0.5000 1
```